The following is a PBE calculation of Cs2LiCuF6 after structural relaxation, from OQMD.

abc: 5.791 5.791 5.791
angles: 60.00 60.00 60.00
Element x y z (fractional)
Cs1 0.250 0.250 0.250
Cs2 0.750 0.750 0.750
F1 0.239 0.761 0.761
F2 0.761 0.239 0.761
F3 0.761 0.761 0.239
F4 0.239 0.239 0.761
F5 0.239 0.761 0.239
F6 0.761 0.239 0.239
Cu1 0.000 0.000 0.000
Li1 0.500 0.500 0.500

Results
E_tot: -4.000 eV per atom
Crystal system: cubic